(1)
Material: La2CoSCl
Method: DFT, PBE
State: optimized geometry

Cell lengths 5.5954, 5.5954, 3.9995 Å; angles 90.00, 90.00, 90.00 degrees
Fractional positions:
1 S 0.0000 0.0000 0.0000
2 La 0.5000 0.0000 0.0000
3 La 0.0000 0.5000 0.0000
4 Co 0.0000 0.0000 0.5000
5 Cl 0.5000 0.5000 0.5000

Calculated values
The magnetic moment is 0.3 Bohr magnetons per cell. The density is 5.4 g/cm3.

=====

(2)
Material: La4CoSe2Cl
Method: DFT, PBE
State: optimized geometry

Cell lengths 4.1078, 7.5442, 7.4440 Å; angles 70.52, 90.00, 90.00 degrees
Fractional positions:
1 Se 0.5000 0.0000 0.5000
2 La 0.0000 0.2513 0.2542
3 La 0.5000 0.7201 0.2819
4 Co 0.0000 0.5000 0.5000
5 La 0.0000 0.7487 0.7458
6 La 0.5000 0.2799 0.7181
7 Cl 0.5000 0.5000 0.0000
8 Se 0.0000 0.0000 0.0000

Calculated values
The magnetic moment is 0.0 Bohr magnetons per cell. The density is 6.2 g/cm3.

=====

(3)
Material: La3CoSeCl
Method: DFT, PBE
State: optimized geometry

Cell lengths 3.9648, 8.1369, 10.7217 Å; angles 108.62, 90.00, 90.00 degrees
Fractional positions:
1 La 0.7500 0.8489 0.0820
2 Co 0.2500 0.5677 0.0272
3 La 0.2500 0.5428 0.7862
4 La 0.2500 0.7474 0.5462
5 Cl 0.7500 0.8469 0.3726
6 Se 0.2500 0.1580 0.2170
7 La 0.7500 0.4572 0.2138
8 La 0.2500 0.1511 0.9180
9 Se 0.7500 0.8420 0.7830
10 Co 0.7500 0.4323 0.9728
11 Cl 0.2500 0.1531 0.6274
12 La 0.7500 0.2526 0.4538

Calculated values
The magnetic moment is 1.1 Bohr magnetons per cell. The density is 6.0 g/cm3.

=====

no.,formation energy (no corrections) (eV per atom)
1,-0.954
2,-1.398
3,-1.125